1) A plane-wave DFT calculation with PBE-GGA was carried out for a relaxed CsTl3Pt crystal.

POSCAR file:
```
CsTl3Pt
1.0
8.652 -2.471 0.000
8.652 2.471 0.000
-3.228 0.000 7.922
Cs Tl Pt
2 6 2
direct
0.059 0.059 0.313
0.941 0.941 0.687
0.172 0.172 0.999
0.269 0.269 0.710
0.374 0.374 0.279
0.626 0.626 0.721
0.731 0.731 0.290
0.828 0.828 0.001
0.424 0.424 0.996
0.576 0.576 0.004
```

Values from the calculation:
**Space-group type**: No. 12
**Crystal system**: monoclinic
**Magnetization**: 0.0 μB per cell

***

2) A plane-wave DFT calculation with PBE-GGA was carried out for a relaxed CsTl3Pt crystal.

POSCAR file:
```
CsTl3Pt
1.0
10.121 -3.191 0.000
10.121 3.191 0.000
-0.015 0.000 5.664
Cs Tl Pt
2 6 2
direct
0.186 0.186 0.252
0.814 0.814 0.748
0.075 0.799 0.249
0.201 0.925 0.751
0.402 0.474 0.749
0.516 0.240 0.248
0.526 0.598 0.251
0.760 0.484 0.752
0.803 0.197 0.000
0.804 0.196 0.500
```

Values from the calculation:
**Space-group type**: No. 5
**Crystal system**: monoclinic
**Magnetization**: 0.0 μB per cell

***

3) A plane-wave DFT calculation with PBE-GGA was carried out for a relaxed CsTl3Pt crystal.

POSCAR file:
```
CsTl3Pt
1.0
9.789 0.000 0.000
0.000 6.699 0.000
-8.094 0.000 10.371
Cs Tl Pt
4 12 4
direct
0.242 0.181 0.195
0.242 0.319 0.695
0.758 0.681 0.305
0.758 0.819 0.805
0.010 0.687 0.168
0.010 0.813 0.668
0.250 0.657 0.045
0.250 0.843 0.545
0.477 0.730 0.415
0.477 0.770 0.915
0.523 0.230 0.085
0.523 0.270 0.585
0.750 0.157 0.455
0.750 0.343 0.955
0.990 0.187 0.332
0.990 0.313 0.832
0.223 0.505 0.411
0.223 0.995 0.911
0.777 0.005 0.089
0.777 0.495 0.589
```

Values from the calculation:
**Space-group type**: No. 14
**Crystal system**: monoclinic
**Magnetization**: 0.0 μB per cell

***

What is the stability order? It is 2), 3), 1), from most stable to least stable.

***

1) A plane-wave DFT calculation with PBE-GGA was carried out for a relaxed Cs3Tl4Pt2 crystal.

POSCAR file:
```
Cs3Tl4Pt2
1.0
8.770 -5.612 0.000
8.770 5.612 0.000
-2.400 0.000 7.397
Cs Tl Pt
6 8 4
direct
0.056 0.944 0.750
0.268 0.492 0.865
0.492 0.268 0.365
0.508 0.732 0.635
0.732 0.508 0.135
0.944 0.056 0.250
0.085 0.612 0.328
0.126 0.266 0.064
0.266 0.126 0.564
0.388 0.915 0.172
0.612 0.085 0.828
0.734 0.874 0.436
0.874 0.734 0.936
0.915 0.388 0.672
0.081 0.365 0.418
0.365 0.081 0.918
0.635 0.919 0.082
0.919 0.635 0.582
```

Values from the calculation:
**Space-group type**: No. 15
**Crystal system**: monoclinic
**Magnetization**: 0.0 μB per cell

***

2) A plane-wave DFT calculation with PBE-GGA was carried out for a relaxed Cs3Tl4Pt2 crystal.

POSCAR file:
```
Cs3Tl4Pt2
1.0
6.902 -2.638 0.000
6.902 2.638 0.000
-2.367 0.000 9.590
Cs Tl Pt
3 4 2
direct
0.000 0.000 0.000
0.408 0.408 0.316
0.592 0.592 0.684
0.158 0.158 0.413
0.274 0.274 0.916
0.726 0.726 0.084
0.842 0.842 0.587
0.316 0.316 0.661
0.684 0.684 0.339
```

Values from the calculation:
**Space-group type**: No. 12
**Crystal system**: monoclinic
**Magnetization**: 0.0 μB per cell

***

What is the stability order? It is 1), 2), from most stable to least stable.